A plane-wave DFT calculation with PBE was carried out for a geometry-optimized NdEr2Mg9 structure.

Energy relative to the elements (eV/atom): -0.0455

```
data_NdEr2Mg9
_cell_length_a 6.0371
_cell_length_b 6.0371
_cell_length_c 29.2355
_cell_angle_alpha 90.00
_cell_angle_beta 90.00
_cell_angle_gamma 120.00
_space_group_name_H-M_alt 'R -3 m'
_space_group_IT_number 166
_space_group_name_Hall '-R 3 2"'
loop_
_atom_site_label
_atom_site_fract_x
_atom_site_fract_y
_atom_site_fract_z
Nd1 0.0000 0.0000 0.0000
Er1 0.0000 0.0000 0.1444
Mg1 0.0000 0.0000 0.3341
Mg2 0.0000 0.0000 0.5000
Mg3 0.0053 0.5026 0.9150
```